(a)
DFT (GGA-PBE) results for KTiTe2H after structural relaxation.

Values from the calculation:
Magnetic moment = 0.4 μB per formula unit
DOS(E_F) = 6.07 states/eV per cell

a b c (Å): 5.144 4.194 5.144
angles (deg): 90.00 90.00 90.00
Positions (direct):
K: 0.000 0.500 0.000
Te: 0.000 0.000 0.500
Te: 0.500 0.000 0.000
Ti: 0.500 0.500 0.500
H: 0.000 0.000 0.000

***

(b)
DFT (GGA-PBE) results for KTiTe2H after structural relaxation.

Values from the calculation:
Magnetic moment = 0.0 μB per formula unit

a b c (Å): 3.932 7.385 9.618
angles (deg): 107.75 90.00 90.00
Positions (direct):
Te: 0.750 0.835 0.635
Te: 0.750 0.764 0.018
Te: 0.250 0.165 0.365
Te: 0.250 0.236 0.982
K: 0.750 0.355 0.694
K: 0.250 0.645 0.306
Ti: 0.750 0.151 0.164
Ti: 0.250 0.849 0.836
H: 0.750 0.403 0.219
H: 0.250 0.597 0.781

***

Short version: (b) is the most stable of them.

***

(a)
DFT (GGA-PBE) results for KZrTe2H after structural relaxation.

Values from the calculation:
Magnetic moment = 0.0 μB per formula unit

a b c (Å): 4.115 7.543 9.819
angles (deg): 107.51 90.00 90.00
Positions (direct):
Te: 0.250 0.241 0.984
Te: 0.750 0.759 0.016
Te: 0.250 0.168 0.379
Te: 0.750 0.832 0.621
H: 0.250 0.576 0.772
H: 0.750 0.424 0.228
Zr: 0.250 0.843 0.827
Zr: 0.750 0.157 0.173
K: 0.750 0.352 0.698
K: 0.250 0.648 0.302

***

(b)
DFT (GGA-PBE) results for KZrTe2H after structural relaxation.

Values from the calculation:
Magnetic moment = 0.0 μB per formula unit
DOS(E_F) = 1.82 states/eV per cell

a b c (Å): 5.718 5.718 4.210
angles (deg): 90.00 90.00 90.00
Positions (direct):
Zr: 0.000 0.000 0.000
Te: 0.500 0.000 0.000
Te: 0.000 0.500 0.000
H: 0.000 0.000 0.500
K: 0.500 0.500 0.500

***

Short version: (a) is the most stable of them.

***

(a)
DFT (GGA-PBE) results for KTi2H after structural relaxation.

Values from the calculation:
Magnetic moment = 1.9 μB per formula unit
DOS(E_F) = 5.76 states/eV per cell

a b c (Å): 4.721 4.721 4.721
angles (deg): 60.00 60.00 60.00
Positions (direct):
K: 0.500 0.500 0.500
Ti: 0.250 0.250 0.250
Ti: 0.750 0.750 0.750
H: 0.000 0.000 0.000

***

(b)
DFT (GGA-PBE) results for KTi2H after structural relaxation.

Values from the calculation:
Magnetic moment = 3.0 μB per formula unit
DOS(E_F) = 9.22 states/eV per cell

a b c (Å): 6.202 6.202 6.200
angles (deg): 59.99 59.99 90.00
Positions (direct):
Ti: 0.375 0.125 0.250
Ti: 0.375 0.625 0.750
Ti: 0.375 0.625 0.250
Ti: 0.875 0.625 0.750
H: 0.500 0.500 0.000
H: 0.250 0.750 0.500
K: 0.000 0.000 0.000
K: 0.750 0.250 0.500

***

Short version: (b) is the most stable of them.

***

(a)
DFT (GGA-PBE) results for K2TlH after structural relaxation.

Values from the calculation:
Magnetic moment = 0.0 μB per formula unit
DOS(E_F) = 1.63 states/eV per cell

a b c (Å): 3.519 3.519 9.153
angles (deg): 90.00 90.00 90.00
Positions (direct):
K: 0.000 0.000 0.817
K: 0.000 0.000 0.183
H: 0.500 0.500 0.000
Tl: 0.500 0.500 0.500

***

(b)
DFT (GGA-PBE) results for K2TlH after structural relaxation.

Values from the calculation:
Magnetic moment = 0.0 μB per formula unit
DOS(E_F) = 1.28 states/eV per cell

a b c (Å): 3.799 3.799 10.548
angles (deg): 79.63 79.63 60.00
Positions (direct):
H: 0.500 0.500 0.500
Tl: 0.000 0.000 0.000
K: 0.888 0.888 0.336
K: 0.112 0.112 0.664

***

Short version: (a) is the most stable of them.

***

(a)
DFT (GGA-PBE) results for K2TlH after structural relaxation.

Values from the calculation:
Magnetic moment = 0.0 μB per formula unit
DOS(E_F) = 1.47 states/eV per cell

a b c (Å): 3.866 3.866 9.637
angles (deg): 78.43 78.43 60.00
Positions (direct):
H: 0.667 0.667 0.000
K: 0.060 0.060 0.821
K: 0.274 0.274 0.179
Tl: 0.500 0.500 0.501

***

(b)
DFT (GGA-PBE) results for K2TlH after structural relaxation.

Values from the calculation:
Magnetic moment = 0.0 μB per formula unit
DOS(E_F) = 4.63 states/eV per cell

a b c (Å): 5.842 5.842 5.842
angles (deg): 60.00 60.00 60.00
Positions (direct):
K: 0.750 0.750 0.750
K: 0.250 0.250 0.250
Tl: 0.500 0.500 0.500
H: 0.000 0.000 0.000

***

Short version: (a) is the most stable of them.

***

(a)
DFT (GGA-PBE) results for KTl2H2 after structural relaxation.

Values from the calculation:
Magnetic moment = 0.0 μB per formula unit
DOS(E_F) = 1.68 states/eV per cell

a b c (Å): 4.212 4.212 7.358
angles (deg): 73.37 73.37 90.00
Positions (direct):
H: 0.250 0.750 0.500
H: 0.750 0.250 0.500
Tl: 0.330 0.330 0.340
Tl: 0.670 0.670 0.660
K: 0.000 0.000 0.000

***

(b)
DFT (GGA-PBE) results for KTl2H2 after structural relaxation.

Values from the calculation:
Magnetic moment = 0.0 μB per formula unit
DOS(E_F) = 2.76 states/eV per cell

a b c (Å): 8.787 8.787 3.235
angles (deg): 90.00 90.00 90.00
Positions (direct):
K: 0.500 0.500 0.000
K: 0.000 0.000 0.000
H: 0.403 0.097 0.500
H: 0.097 0.597 0.500
H: 0.597 0.903 0.500
H: 0.903 0.403 0.500
Tl: 0.129 0.371 0.000
Tl: 0.371 0.871 0.000
Tl: 0.629 0.129 0.000
Tl: 0.871 0.629 0.000

***

Short version: (a) is the most stable of them.

***

(a)
DFT (GGA-PBE) results for K2VH2 after structural relaxation.

Values from the calculation:
Magnetic moment = 4.7 μB per formula unit
DOS(E_F) = 7.67 states/eV per cell

a b c (Å): 4.897 4.897 6.345
angles (deg): 67.30 67.30 90.00
Positions (direct):
K: 0.666 0.666 0.668
K: 0.334 0.334 0.332
H: 0.250 0.750 0.500
H: 0.750 0.250 0.500
V: 0.000 0.000 0.000

***

(b)
DFT (GGA-PBE) results for K2VH2 after structural relaxation.

Values from the calculation:
Magnetic moment = 4.1 μB per formula unit
DOS(E_F) = 7.28 states/eV per cell

a b c (Å): 8.249 8.249 3.105
angles (deg): 90.00 90.00 90.00
Positions (direct):
V: 0.000 0.000 0.000
V: 0.500 0.500 0.000
K: 0.642 0.142 0.000
K: 0.142 0.358 0.000
K: 0.858 0.642 0.000
K: 0.358 0.858 0.000
H: 0.345 0.155 0.500
H: 0.845 0.345 0.500
H: 0.155 0.655 0.500
H: 0.655 0.845 0.500

***

Short version: (b) is the most stable of them.

***

(a)
DFT (GGA-PBE) results for KVH2 after structural relaxation.

Values from the calculation:
Magnetic moment = 0.5 μB per formula unit
DOS(E_F) = 2.59 states/eV per cell

a b c (Å): 2.973 2.973 6.312
angles (deg): 76.38 76.38 60.00
Positions (direct):
K: 0.500 0.500 0.500
V: 0.000 0.000 0.000
H: 0.714 0.714 0.857
H: 0.286 0.286 0.143

***

(b)
DFT (GGA-PBE) results for KVH2 after structural relaxation.

Values from the calculation:
Magnetic moment = 4.0 μB per formula unit
DOS(E_F) = 3.03 states/eV per cell

a b c (Å): 4.346 4.346 4.346
angles (deg): 60.00 60.00 60.00
Positions (direct):
H: 0.750 0.750 0.750
H: 0.250 0.250 0.250
K: 0.000 0.000 0.000
V: 0.500 0.500 0.500

***

(c)
DFT (GGA-PBE) results for KVH2 after structural relaxation.

Values from the calculation:
Magnetic moment = 4.0 μB per formula unit
DOS(E_F) = 7.16 states/eV per cell

a b c (Å): 5.734 5.734 5.611
angles (deg): 59.27 59.27 90.00
Positions (direct):
K: 0.250 0.750 0.500
K: 0.500 0.500 0.000
V: 0.750 0.250 0.500
V: 0.000 0.000 0.000
H: 0.010 0.625 0.250
H: 0.740 0.125 0.250
H: 0.375 0.260 0.750
H: 0.875 0.990 0.750

***

Short version: (a) is the most stable of them.